! Ca2AcPb5 (PBE, relaxed); values from VASP
&SYSTEM
  ibrav = 0, nat = 8, ntyp = 3
/
ATOMIC_SPECIES
Ca 40.08 Ca.upf
Pb 207.20 Pb.upf
Ac 227.00 Ac.upf
CELL_PARAMETERS angstrom
-5.759 -1.212 3.697
0.936 -4.377 -5.317
5.405 -0.800 4.295
ATOMIC_POSITIONS angstrom
Ca -1.517 -2.559 3.545
Ca 1.831 -4.141 -0.962
Pb -0.874 -3.740 -3.106
Pb -1.050 -4.746 0.885
Pb 1.364 -1.954 1.698
Pb -1.340 -1.552 -0.449
Pb 1.185 -2.959 5.693
Ac 1.651 -5.149 3.035
! Energy of formation from the pure elements (eV per atom): -0.39
! Total moment (μB per cell): 0.000
! Space-group type: No. 139
! Uncorrected energy (eV for the cell shown): -29.797

! LiAlAg2 (PBE, relaxed); values from VASP
&SYSTEM
  ibrav = 0, nat = 4, ntyp = 3
/
ATOMIC_SPECIES
Li 6.94 Li.upf
Ag 107.87 Ag.upf
Al 26.98 Al.upf
CELL_PARAMETERS angstrom
-0.232 0.615 5.029
-4.556 -0.948 2.015
3.099 -2.466 -3.168
ATOMIC_POSITIONS angstrom
Li 0.236 -1.009 2.692
Ag -1.926 -1.791 1.185
Ag 0.000 0.000 0.000
Al -2.394 -0.167 3.522
! Energy of formation from the pure elements (eV per atom): -0.19
! Total moment (μB per cell): 0.000
! Space-group type: No. 119
! Uncorrected energy (eV for the cell shown): -12.107

! ThPa2MnN5 (PBE, relaxed); values from VASP
&SYSTEM
  ibrav = 0, nat = 18, ntyp = 4
/
ATOMIC_SPECIES
N 14.01 N.upf
Mn 54.94 Mn.upf
Th 232.04 Th.upf
Pa 231.04 Pa.upf
CELL_PARAMETERS angstrom
6.564 0.000 0.000
0.000 6.564 0.000
-3.282 -3.282 5.556
ATOMIC_POSITIONS angstrom
N 1.034 2.248 4.031
N 5.530 2.248 1.524
N 0.000 0.000 0.000
N -1.034 -2.248 4.031
N 4.316 5.530 1.524
N 2.248 1.034 1.524
N 1.034 4.316 1.524
N 2.248 -1.034 4.031
N 3.282 3.282 0.000
N -2.248 1.034 4.031
Mn 3.282 0.000 2.778
Mn 0.000 3.282 2.778
Th 3.282 3.282 2.778
Th 0.000 0.000 2.778
Pa 5.460 4.386 0.000
Pa 1.104 2.178 0.000
Pa 2.178 5.460 0.000
Pa 4.386 1.104 0.000
! Total moment (μB per cell): 7.914
! Space-group type: No. 140
! Uncorrected energy (eV for the cell shown): -178.250
! Uncorrected formation energy (meV/atom): -1324

! La2FeIr (PBE, relaxed); values from VASP
&SYSTEM
  ibrav = 0, nat = 4, ntyp = 3
/
ATOMIC_SPECIES
Fe 55.84 Fe.upf
La 138.91 La.upf
Ir 192.22 Ir.upf
CELL_PARAMETERS angstrom
4.916 0.000 0.000
2.458 4.258 0.000
2.458 1.419 4.014
ATOMIC_POSITIONS angstrom
Fe 4.916 2.838 2.007
La 0.000 0.000 0.000
La 2.458 1.419 1.004
Ir 7.374 4.258 3.011
! Energy of formation from the pure elements (eV per atom): 0.02
! Total moment (μB per cell): 2.612
! Space-group type: No. 216
! Uncorrected energy (eV for the cell shown): -27.110

! Mg2C (PBE, relaxed); values from VASP
&SYSTEM
  ibrav = 0, nat = 6, ntyp = 2
/
ATOMIC_SPECIES
C 12.01 C.upf
Mg 24.30 Mg.upf
CELL_PARAMETERS angstrom
1.585 6.088 -0.429
-1.585 6.088 -0.429
0.000 3.650 4.810
ATOMIC_POSITIONS angstrom
C 0.000 6.180 0.247
C 0.000 9.647 3.706
Mg 0.000 12.385 1.554
Mg 0.000 5.329 4.655
Mg 0.000 10.498 -0.702
Mg 0.000 3.442 2.399
! Energy of formation from the pure elements (eV per atom): 0.34
! Total moment (μB per cell): 0.000
! Polymorph energy (0 for the lowest one) (eV per atom): 0.0869
! Space-group type: No. 12
! Uncorrected energy (eV for the cell shown): -22.809

! TiPt4 (PBE, relaxed); values from VASP
&SYSTEM
  ibrav = 0, nat = 5, ntyp = 2
/
ATOMIC_SPECIES
Pt 195.08 Pt.upf
Ti 47.87 Ti.upf
CELL_PARAMETERS angstrom
-3.329 3.026 -1.021
-2.859 -3.481 -0.995
-1.424 -0.085 4.387
ATOMIC_POSITIONS angstrom
Pt -2.141 -1.783 1.696
Pt -2.376 1.471 1.683
Pt 0.000 0.000 0.000
Pt -3.094 -0.227 -1.008
Ti -3.806 -0.270 1.185
! Energy of formation from the pure elements (eV per atom): 0.75
! Total moment (μB per cell): 0.000
! Space-group type: No. 221
! Uncorrected energy (eV for the cell shown): -28.330

! La2Pm2Th15 (PBE, relaxed); values from VASP
&SYSTEM
  ibrav = 0, nat = 19, ntyp = 3
/
ATOMIC_SPECIES
Th 232.04 Th.upf
Pm 145.00 Pm.upf
La 138.91 La.upf
CELL_PARAMETERS angstrom
8.640 -0.355 1.606
1.270 8.553 1.606
-0.429 -0.355 8.777
ATOMIC_POSITIONS angstrom
Th 6.466 5.350 3.691
Th 6.314 2.456 1.606
Th 0.635 4.277 0.803
Th 3.832 6.782 4.846
Th 2.101 5.350 7.143
Th 5.778 -0.355 3.869
Th -0.214 -0.177 4.389
Th 7.380 2.494 4.846
Th 3.596 5.742 1.606
Th 4.320 -0.177 0.803
Th 2.433 -0.355 6.514
Th 0.107 2.456 6.514
Th 5.649 1.062 7.143
Th 3.015 2.494 8.298
Th 0.734 5.742 3.869
Pm 6.071 5.023 7.677
Pm 3.410 2.821 4.311
La 8.480 7.016 10.723
La 1.001 0.828 1.266
! Energy of formation from the pure elements (eV per atom): 0.27
! Total moment (μB per cell): 0.000
! Space-group type: No. 166
! Uncorrected energy (eV for the cell shown): -125.596

! ZnNi6Sb (PBE, relaxed); values from VASP
&SYSTEM
  ibrav = 0, nat = 32, ntyp = 3
/
ATOMIC_SPECIES
Ni 58.69 Ni.upf
Zn 65.41 Zn.upf
Sb 121.76 Sb.upf
CELL_PARAMETERS angstrom
6.330 0.000 0.000
-2.091 5.974 0.000
0.000 0.000 10.338
ATOMIC_POSITIONS angstrom
Ni 0.007 2.280 6.497
Ni 4.192 1.517 10.284
Ni 4.232 3.695 6.497
Ni 2.119 2.987 7.753
Ni 0.039 2.249 1.256
Ni 2.089 5.215 9.009
Ni 4.232 3.695 9.009
Ni 0.000 0.000 2.584
Ni 4.200 3.726 3.913
Ni 2.129 5.195 1.256
Ni 2.119 2.987 2.584
Ni 0.047 4.458 5.222
Ni 2.149 0.759 9.009
Ni 0.039 2.249 3.913
Ni 4.200 3.726 1.256
Ni 2.149 0.759 6.497
Ni 0.007 2.280 9.009
Ni 2.129 5.195 3.913
Ni 0.000 0.000 7.753
Ni 2.110 0.780 1.256
Ni 4.192 1.517 5.222
Ni 2.110 0.780 3.913
Ni 0.047 4.458 10.284
Ni 2.089 5.215 6.497
Zn 4.230 1.490 7.753
Zn 2.119 2.987 10.287
Zn 0.008 4.485 7.753
Zn 2.119 2.987 5.219
Sb 0.013 4.482 2.584
Sb 0.000 0.000 5.235
Sb 4.226 1.493 2.584
Sb 0.000 0.000 10.271
! Total moment (μB per cell): 3.678
! Polymorph energy (0 for the lowest one) (eV per atom): 0.0040
! Space-group type: No. 65
! Uncorrected energy (eV for the cell shown): -164.743
! Uncorrected formation energy (meV/atom): -138

! AsPRh (PBE, relaxed); values from VASP
&SYSTEM
  ibrav = 0, nat = 3, ntyp = 3
/
ATOMIC_SPECIES
Rh 102.91 Rh.upf
As 74.92 As.upf
P 30.97 P.upf
CELL_PARAMETERS angstrom
3.535 0.021 -0.002
1.743 3.404 -0.001
1.748 0.980 4.595
ATOMIC_POSITIONS angstrom
Rh 3.122 2.307 1.591
As 3.136 0.163 0.334
P 1.364 1.071 2.614
! Energy of formation from the pure elements (eV per atom): -0.29
! Total moment (μB per cell): 0.000
! Polymorph energy (0 for the lowest one) (eV per atom): 0.2742
! Space-group type: No. 1
! Uncorrected energy (eV for the cell shown): -18.286

! BaMn2Sn2 (PBE, relaxed); values from VASP
&SYSTEM
  ibrav = 0, nat = 5, ntyp = 3
/
ATOMIC_SPECIES
Ba 137.33 Ba.upf
Mn 54.94 Mn.upf
Sn 118.71 Sn.upf
CELL_PARAMETERS angstrom
2.115 2.633 5.948
1.927 6.540 0.543
-5.158 -3.723 -2.512
ATOMIC_POSITIONS angstrom
Ba 0.000 0.000 0.000
Mn -0.605 3.702 0.638
Mn -0.511 1.748 3.341
Sn 1.483 3.366 2.382
Sn 2.559 5.807 4.109
! Energy of formation from the pure elements (eV per atom): -0.13
! Total moment (μB per cell): 7.594
! Space-group type: No. 139
! Uncorrected energy (eV for the cell shown): -28.900